No. 1
First-principles (PBE-GGA) data for a geometry-optimized PrScGe structure, as listed in the Open Quantum Materials Database.

Properties
Energy in eV/atom: -5.96
E above lowest polymorph in meV per atom: 0
Crystal system: tetragonal
Density in g/cm³: 5.7

a = 4.3403 Å, b = 4.3403 Å, c = 16.1177 Å
α = 90.00°, β = 90.00°, γ = 90.00°
Closest atoms and distances in Å follow each position.
Positions (direct):
Pr 0.0000 0.0000 0.1760  5 Ge 3.20-3.27, 4 Sc 3.57
Pr 0.0000 0.0000 0.8240  5 Ge 3.20-3.27, 4 Sc 3.57
Pr 0.5000 0.5000 0.3240  5 Ge 3.20-3.27, 4 Sc 3.57
Pr 0.5000 0.5000 0.6760  5 Ge 3.20-3.27, 4 Sc 3.57
Sc 0.0000 0.5000 0.0000  4 Ge 2.92, 4 Sc 3.07
Sc 0.0000 0.5000 0.5000  4 Ge 2.92, 4 Sc 3.07
Sc 0.5000 0.0000 0.0000  4 Ge 2.92, 4 Sc 3.07
Sc 0.5000 0.0000 0.5000  4 Ge 2.92, 4 Sc 3.07
Ge 0.0000 0.0000 0.3792  4 Sc 2.92, 4 Pr 3.20
Ge 0.0000 0.0000 0.6208  4 Sc 2.92, 4 Pr 3.20
Ge 0.5000 0.5000 0.1208  4 Sc 2.92, 4 Pr 3.20
Ge 0.5000 0.5000 0.8792  4 Sc 2.92, 4 Pr 3.20



No. 2
First-principles (PBE-GGA) data for a geometry-optimized YInCuAg structure, as listed in the Open Quantum Materials Database.

Properties
Energy in eV/atom: -4.10
E above lowest polymorph in meV per atom: 168
Crystal system: cubic
Density in g/cm³: 7.6

a = 6.8908 Å, b = 6.8908 Å, c = 6.8908 Å
α = 90.00°, β = 90.00°, γ = 90.00°
Closest atoms and distances in Å follow each position.
Positions (direct):
Y 0.0000 0.0000 0.0000  4 In 2.98, 4 Ag 2.98
Y 0.0000 0.5000 0.5000  4 In 2.98, 4 Ag 2.98
Y 0.5000 0.0000 0.5000  4 In 2.98, 4 Ag 2.98
Y 0.5000 0.5000 0.0000  4 In 2.98, 4 Ag 2.98
In 0.2500 0.2500 0.2500  4 Cu 2.98, 4 Y 2.98
In 0.2500 0.7500 0.7500  4 Cu 2.98, 4 Y 2.98
In 0.7500 0.2500 0.7500  4 Cu 2.98, 4 Y 2.98
In 0.7500 0.7500 0.2500  4 Cu 2.98, 4 Y 2.98
Cu 0.0000 0.0000 0.5000  4 In 2.98, 4 Ag 2.98
Cu 0.0000 0.5000 0.0000  4 In 2.98, 4 Ag 2.98
Cu 0.5000 0.0000 0.0000  4 In 2.98, 4 Ag 2.98
Cu 0.5000 0.5000 0.5000  4 In 2.98, 4 Ag 2.98
Ag 0.2500 0.2500 0.7500  4 Cu 2.98, 4 Y 2.98
Ag 0.2500 0.7500 0.2500  4 Cu 2.98, 4 Y 2.98
Ag 0.7500 0.2500 0.2500  4 Cu 2.98, 4 Y 2.98
Ag 0.7500 0.7500 0.7500  4 Cu 2.98, 4 Y 2.98



No. 3
First-principles (PBE-GGA) data for a geometry-optimized BaTbB structure, as listed in the Open Quantum Materials Database.

Properties
Energy in eV/atom: -3.80
E above lowest polymorph in meV per atom: 0
Crystal system: cubic
Density in g/cm³: 6.2

a = 6.8881 Å, b = 6.8881 Å, c = 6.8881 Å
α = 90.00°, β = 90.00°, γ = 90.00°
Closest atoms and distances in Å follow each position.
Positions (direct):
Ba 0.0000 0.0000 0.0000  4 B 2.98
Ba 0.0000 0.5000 0.5000  4 B 2.98
Ba 0.5000 0.0000 0.5000  4 B 2.98
Ba 0.5000 0.5000 0.0000  4 B 2.98
Tb 0.0000 0.0000 0.5000  4 B 2.98
Tb 0.0000 0.5000 0.0000  4 B 2.98
Tb 0.5000 0.0000 0.0000  4 B 2.98
Tb 0.5000 0.5000 0.5000  4 B 2.98
B 0.2500 0.2500 0.2500  4 Ba 2.98, 4 Tb 2.98
B 0.2500 0.7500 0.7500  4 Ba 2.98, 4 Tb 2.98
B 0.7500 0.2500 0.7500  4 Ba 2.98, 4 Tb 2.98
B 0.7500 0.7500 0.2500  4 Ba 2.98, 4 Tb 2.98



No. 4
First-principles (PBE-GGA) data for a geometry-optimized TcPdPt2 structure, as listed in the Open Quantum Materials Database.

Properties
Energy of formation from the pure elements in eV per atom: 0.1855
Energy in eV/atom: -6.73
E above lowest polymorph in meV per atom: 361
Crystal system: cubic
Density in g/cm³: 16.0

a = 6.2745 Å, b = 6.2745 Å, c = 6.2745 Å
α = 90.00°, β = 90.00°, γ = 90.00°
Closest atoms and distances in Å follow each position.
Positions (direct):
Tc 0.0000 0.0000 0.0000  4 Pd 2.72, 4 Pt 2.72
Tc 0.0000 0.5000 0.5000  4 Pd 2.72, 4 Pt 2.72
Tc 0.5000 0.0000 0.5000  4 Pd 2.72, 4 Pt 2.72
Tc 0.5000 0.5000 0.0000  4 Pd 2.72, 4 Pt 2.72
Pd 0.2500 0.2500 0.2500  4 Pt 2.72, 4 Tc 2.72
Pd 0.2500 0.7500 0.7500  4 Pt 2.72, 4 Tc 2.72
Pd 0.7500 0.2500 0.7500  4 Pt 2.72, 4 Tc 2.72
Pd 0.7500 0.7500 0.2500  4 Pt 2.72, 4 Tc 2.72
Pt 0.0000 0.0000 0.5000  4 Pt 2.72, 4 Pd 2.72
Pt 0.0000 0.5000 0.0000  4 Pt 2.72, 4 Pd 2.72
Pt 0.2500 0.2500 0.7500  4 Tc 2.72, 4 Pt 2.72
Pt 0.2500 0.7500 0.2500  4 Tc 2.72, 4 Pt 2.72
Pt 0.5000 0.0000 0.0000  4 Pt 2.72, 4 Pd 2.72
Pt 0.5000 0.5000 0.5000  4 Pt 2.72, 4 Pd 2.72
Pt 0.7500 0.2500 0.2500  4 Tc 2.72, 4 Pt 2.72
Pt 0.7500 0.7500 0.7500  4 Tc 2.72, 4 Pt 2.72



No. 5
First-principles (PBE-GGA) data for a geometry-optimized Zr2Pt structure, as listed in the Open Quantum Materials Database.

Properties
Energy of formation from the pure elements in eV per atom: -0.7086
Energy in eV/atom: -8.43
Crystal system: cubic
Density in g/cm³: 10.1

a = 8.8957 Å, b = 8.8957 Å, c = 8.8957 Å
α = 60.00°, β = 60.00°, γ = 60.00°
Closest atoms and distances in Å follow each position.
Positions (direct):
Zr 0.0000 0.0000 0.0000  6 Pt 2.83
Zr 0.0000 0.0000 0.5000  6 Pt 2.83
Zr 0.0000 0.5000 0.0000  6 Pt 2.83
Zr 0.1875 0.1875 0.5625  2 Pt 2.77
Zr 0.1875 0.5625 0.1875  2 Pt 2.77
Zr 0.1875 0.5625 0.5625  2 Pt 2.77
Zr 0.4375 0.4375 0.8125  2 Pt 2.77
Zr 0.4375 0.8125 0.4375  2 Pt 2.77
Zr 0.4375 0.8125 0.8125  2 Pt 2.77
Zr 0.5000 0.0000 0.0000  6 Pt 2.83
Zr 0.5625 0.1875 0.1875  2 Pt 2.77
Zr 0.5625 0.1875 0.5625  2 Pt 2.77
Zr 0.5625 0.5625 0.1875  2 Pt 2.77
Zr 0.8125 0.4375 0.4375  2 Pt 2.77
Zr 0.8125 0.4375 0.8125  2 Pt 2.77
Zr 0.8125 0.8125 0.4375  2 Pt 2.77
Pt 0.1630 0.7790 0.7790  6 Zr 2.77-2.83
Pt 0.2210 0.2210 0.2210  6 Zr 2.77-2.83
Pt 0.2210 0.2210 0.8370  6 Zr 2.77-2.83
Pt 0.2210 0.8370 0.2210  6 Zr 2.77-2.83
Pt 0.7790 0.1630 0.7790  6 Zr 2.77-2.83
Pt 0.7790 0.7790 0.1630  6 Zr 2.77-2.83
Pt 0.7790 0.7790 0.7790  6 Zr 2.77-2.83
Pt 0.8370 0.2210 0.2210  6 Zr 2.77-2.83



No. 6
First-principles (PBE-GGA) data for a geometry-optimized SrCuAs2Pt structure, as listed in the Open Quantum Materials Database.

Properties
Energy in eV/atom: -4.84
Crystal system: tetragonal
Density in g/cm³: 8.3

a = 4.4022 Å, b = 4.4022 Å, c = 10.2302 Å
α = 90.00°, β = 90.00°, γ = 90.00°
Closest atoms and distances in Å follow each position.
Positions (direct):
Sr 0.2500 0.2500 0.2452  8 As 3.34-3.41, 4 Cu 3.34, 4 Pt 3.38
Sr 0.7500 0.7500 0.7548  8 As 3.34-3.41, 4 Cu 3.34, 4 Pt 3.38
Cu 0.2500 0.7500 0.0000  4 As 2.56
Cu 0.7500 0.2500 0.0000  4 As 2.56
As 0.2500 0.2500 0.8720  1 Pt 2.53, 4 Cu 2.56
As 0.2500 0.7500 0.5000  4 Pt 2.55
As 0.7500 0.2500 0.5000  4 Pt 2.55
As 0.7500 0.7500 0.1280  1 Pt 2.53, 4 Cu 2.56
Pt 0.2500 0.2500 0.6249  5 As 2.53-2.55
Pt 0.7500 0.7500 0.3751  5 As 2.53-2.55



No. 7
First-principles (PBE-GGA) data for a geometry-optimized LaTmU structure, as listed in the Open Quantum Materials Database.

Properties
Energy of formation from the pure elements in eV per atom: 1.1871
Energy in eV/atom: -5.71
E above lowest polymorph in meV per atom: 0
Crystal system: cubic
Density in g/cm³: 9.4

a = 7.2808 Å, b = 7.2808 Å, c = 7.2808 Å
α = 90.00°, β = 90.00°, γ = 90.00°
Closest atoms and distances in Å follow each position.
Positions (direct):
La 0.0000 0.0000 0.0000  4 Tm 3.15, 4 U 3.15
La 0.0000 0.5000 0.5000  4 Tm 3.15, 4 U 3.15
La 0.5000 0.0000 0.5000  4 Tm 3.15, 4 U 3.15
La 0.5000 0.5000 0.0000  4 Tm 3.15, 4 U 3.15
Tm 0.2500 0.2500 0.7500  4 La 3.15
Tm 0.2500 0.7500 0.2500  4 La 3.15
Tm 0.7500 0.2500 0.2500  4 La 3.15
Tm 0.7500 0.7500 0.7500  4 La 3.15
U 0.2500 0.2500 0.2500  4 La 3.15
U 0.2500 0.7500 0.7500  4 La 3.15
U 0.7500 0.2500 0.7500  4 La 3.15
U 0.7500 0.7500 0.2500  4 La 3.15



No. 8
First-principles (PBE-GGA) data for a geometry-optimized YPa structure, as listed in the Open Quantum Materials Database.

Properties
Energy of formation from the pure elements in eV per atom: 1.3653
Energy in eV/atom: -6.62
E above lowest polymorph in meV per atom: 1157
Crystal system: cubic
Density in g/cm³: 8.6

a = 6.2639 Å, b = 6.2639 Å, c = 6.2639 Å
α = 90.00°, β = 90.00°, γ = 90.00°
Closest atoms and distances in Å follow each position.
Positions (direct):
Y 0.0000 0.0000 0.0000  6 Pa 3.13
Y 0.0000 0.5000 0.5000  6 Pa 3.13
Y 0.5000 0.0000 0.5000  6 Pa 3.13
Y 0.5000 0.5000 0.0000  6 Pa 3.13
Pa 0.0000 0.0000 0.5000  6 Y 3.13
Pa 0.0000 0.5000 0.0000  6 Y 3.13
Pa 0.5000 0.0000 0.0000  6 Y 3.13
Pa 0.5000 0.5000 0.5000  6 Y 3.13



No. 9
First-principles (PBE-GGA) data for a geometry-optimized Ba2AgSb2Pd structure, as listed in the Open Quantum Materials Database.

Properties
Energy in eV/atom: -4.19
Crystal system: hexagonal
Density in g/cm³: 6.5

a = 4.7306 Å, b = 4.7306 Å, c = 9.6893 Å
α = 90.00°, β = 90.00°, γ = 120.00°
Closest atoms and distances in Å follow each position.
Positions (direct):
Ba 0.0000 0.0000 0.2421  6 Sb 3.60-3.70, 3 Pd 3.60, 3 Ag 3.70
Ba 0.0000 0.0000 0.7579  6 Sb 3.60-3.70, 3 Pd 3.60, 3 Ag 3.70
Ag 0.3333 0.6667 0.5000  3 Sb 2.73
Sb 0.3333 0.6667 0.0000  3 Pd 2.73
Sb 0.6667 0.3333 0.5000  3 Ag 2.73
Pd 0.6667 0.3333 0.0000  3 Sb 2.73



No. 10
First-principles (PBE-GGA) data for a geometry-optimized Tm4Hf2Br structure, as listed in the Open Quantum Materials Database.

Properties
Energy in eV/atom: -5.19
Crystal system: tetragonal
Density in g/cm³: 8.7

a = 5.3251 Å, b = 5.3251 Å, c = 14.9106 Å
α = 90.00°, β = 90.00°, γ = 90.00°
Closest atoms and distances in Å follow each position.
Positions (direct):
Tm 0.0000 0.0000 0.1871  1 Br 2.79
Tm 0.0000 0.0000 0.8129  1 Br 2.79
Tm 0.0000 0.5000 0.0000  2 Br 2.66
Tm 0.0000 0.5000 0.5000  2 Br 2.66
Tm 0.5000 0.0000 0.0000  2 Br 2.66
Tm 0.5000 0.0000 0.5000  2 Br 2.66
Tm 0.5000 0.5000 0.3129  1 Br 2.79
Tm 0.5000 0.5000 0.6871  1 Br 2.79
Hf 0.0000 0.0000 0.3980  1 Hf 3.04, 5 Tm 3.07-3.14
Hf 0.0000 0.0000 0.6020  1 Hf 3.04, 5 Tm 3.07-3.14
Hf 0.5000 0.5000 0.1020  1 Hf 3.04, 5 Tm 3.07-3.14
Hf 0.5000 0.5000 0.8980  1 Hf 3.04, 5 Tm 3.07-3.14
Br 0.0000 0.0000 0.0000  6 Tm 2.66-2.79
Br 0.5000 0.5000 0.5000  6 Tm 2.66-2.79



What is the energy in the tenth record?
-5.19 eV/atom



Look up the density of the first one.
5.7 g/cm³



Look up the energy of the fifth one.
-8.43 eV/atom